Record 1
Computed, not measured: crystalline MgCr2Cd at its relaxed geometry at the PBE-GGA level of DFT.

Unit cell a=2.6469 b=2.6469 c=8.8346 alpha=90.00 beta=90.00 gamma=90.00
Element x y z (fractional)
Cr 0.0000 0.0000 0.0030
Cr 0.0000 0.0000 0.4970
Cd 0.5000 0.5000 0.7500
Mg 0.5000 0.5000 0.2500

Properties
symmetry = P4/mmm (123)
spin magnetization = 0.0 μB per cell
ρ = 6.5 g/cm³
D(E_F) = 2.97 states/eV per cell
formation enthalpy at 0 K = 0.6790 eV per atom

***

Record 2
Computed, not measured: crystalline MgCr2Cd at its relaxed geometry at the PBE-GGA level of DFT.

Unit cell a=4.4554 b=3.6910 c=3.6910 alpha=90.00 beta=90.00 gamma=90.00
Element x y z (fractional)
Cr 0.0000 0.5000 0.5000
Cd 0.5000 0.0000 0.5000
Mg 0.5000 0.5000 0.0000
Cr 0.0000 0.0000 0.0000

Properties
symmetry = P4/mmm (123)
spin magnetization = 0.0 μB per cell
ρ = 6.6 g/cm³
D(E_F) = 3.24 states/eV per cell
formation enthalpy at 0 K = 0.6027 eV per atom

***

Record 3
Computed, not measured: crystalline MgCr2Cd at its relaxed geometry at the PBE-GGA level of DFT.

Unit cell a=4.5354 b=2.6866 c=5.4252 alpha=73.27 beta=90.00 gamma=90.00
Element x y z (fractional)
Cr 0.0000 0.9641 0.0498
Mg 0.5000 0.2500 0.2500
Cd 0.5000 0.7500 0.7500
Cr 0.0000 0.5359 0.4502

Properties
symmetry = P2/m (10)
spin magnetization = 0.0 μB per cell
ρ = 6.3 g/cm³
D(E_F) = 3.79 states/eV per cell
formation enthalpy at 0 K = 0.5770 eV per atom

***

Record 4
Computed, not measured: crystalline MgCr2Cd at its relaxed geometry at the PBE-GGA level of DFT.

Unit cell a=9.5804 b=9.5804 c=9.5804 alpha=18.07 beta=18.07 gamma=18.07
Each line ends with the local moment (μB).
Element x y z (fractional)
Cd 0.7500 0.7500 0.7500  -0.03
Cr 0.5003 0.5003 0.5003  3.29
Cr 0.9997 0.9997 0.9997  3.29
Mg 0.2500 0.2500 0.2500  -0.03

Properties
symmetry = R-3m (166)
spin magnetization = 7.1 μB per cell
ρ = 5.4 g/cm³
D(E_F) = 5.25 states/eV per cell
formation enthalpy at 0 K = 0.6561 eV per atom

***

Q: Look up the formation enthalpy at 0 K of the first one.
A: 0.6790 eV per atom

***

Q: The highest ρ belongs to which entry?
A: number 2